VASP calculation (GGA-PBE) on an optimized crystal structure of La2FeSi4Pt3.

Its size of the total moment is 1.235 μB per cell. The calculated density is 9.499 g cm⁻³. As for the total energy: -6.81 eV/atom.

POSCAR file:
```
La2FeSi4Pt3
1.0
4.2580 0.0000 0.0000
0.0000 4.2580 0.0000
0.0000 0.0000 9.9432
Si Fe La Pt
4 1 2 3
Direct
0.5000 0.5000 0.0000
0.5000 0.0000 0.6225
0.0000 0.0000 0.0000
0.0000 0.5000 0.3775
0.5000 0.5000 0.5000
0.0000 0.5000 0.7518
0.5000 0.0000 0.2482
0.0000 0.0000 0.5000
0.5000 0.0000 0.8760
0.0000 0.5000 0.1240
```